First-principles (PBE) data for crystalline KGdU at its relaxed geometry, as listed in OQMD.

abc: 5.773 5.773 5.773
angles: 60.00 60.00 60.00
Element x y z (fractional)
K 0.000 0.000 0.000
Gd 0.500 0.500 0.500
U 0.750 0.750 0.750

Values from the calculation:
Final energy = -3.750 eV per atom
Magnetization = 6.27 Bohr magnetons per cell
SG = No. 216

First-principles (PBE) data for crystalline KGdY at its relaxed geometry, as listed in OQMD.

abc: 5.905 5.905 5.905
angles: 60.00 60.00 60.00
Element x y z (fractional)
K 0.000 0.000 0.000
Gd 0.500 0.500 0.500
Y 0.750 0.750 0.750

Values from the calculation:
Offset from the most stable computed form = 0 meV per atom
Final energy = -2.896 eV per atom
Magnetization = 1.19 Bohr magnetons per cell
SG = No. 216

First-principles (PBE) data for crystalline KGdZn at its relaxed geometry, as listed in OQMD.

abc: 5.264 5.264 5.264
angles: 60.00 60.00 60.00
Element x y z (fractional)
K 0.000 0.000 0.000
Gd 0.500 0.500 0.500
Zn 0.750 0.750 0.750

Values from the calculation:
Final energy = -1.846 eV per atom
Magnetization = 0.03 Bohr magnetons per cell
SG = No. 216

First-principles (PBE) data for crystalline LiLaGd at its relaxed geometry, as listed in OQMD.

abc: 5.134 5.134 5.134
angles: 60.00 60.00 60.00
Element x y z (fractional)
Li 0.000 0.000 0.000
La 0.250 0.250 0.250
Gd 0.750 0.750 0.750

Values from the calculation:
Offset from the most stable computed form = 0 meV per atom
Final energy = -3.355 eV per atom
Magnetization = 1.57 Bohr magnetons per cell
SG = No. 216

First-principles (PBE) data for crystalline LaGdMg2 at its relaxed geometry, as listed in OQMD.

abc: 3.856 5.511 5.511
angles: 90.00 90.00 90.00
Element x y z (fractional)
La 0.000 0.000 0.000
Gd 0.000 0.500 0.504
Mg 0.500 0.000 0.499
Mg 0.500 0.500 0.005

Values from the calculation:
Final energy = -3.267 eV per atom
Magnetization = 0.02 Bohr magnetons per cell
SG = No. 25

First-principles (PBE) data for crystalline LaGdMg4Pd2 at its relaxed geometry, as listed in OQMD.

abc: 8.016 6.607 6.607
angles: 48.10 90.00 90.00
Element x y z (fractional)
La 0.000 0.000 0.000
Gd 0.000 0.706 0.706
Mg 0.315 0.278 0.278
Mg 0.318 0.542 0.542
Mg 0.682 0.542 0.542
Mg 0.685 0.278 0.278
Pd 0.000 0.235 0.235
Pd 0.000 0.462 0.462

Values from the calculation:
Final energy = -3.313 eV per atom
Magnetization = 0.01 Bohr magnetons per cell
SG = No. 38

First-principles (PBE) data for crystalline LaGd2Mg3Pt3 at its relaxed geometry, as listed in OQMD.

abc: 4.110 7.460 7.460
angles: 119.43 90.00 90.00
Element x y z (fractional)
La 0.000 0.000 0.000
Gd 0.000 0.417 0.826
Gd 0.000 0.826 0.417
Mg 0.500 0.175 0.421
Mg 0.500 0.421 0.175
Mg 0.500 0.655 0.655
Pt 0.000 0.423 0.423
Pt 0.500 0.086 0.747
Pt 0.500 0.747 0.086

Values from the calculation:
Final energy = -5.055 eV per atom
Magnetization = 0.02 Bohr magnetons per cell
SG = No. 38

First-principles (PBE) data for crystalline La2GdMg3Pt3 at its relaxed geometry, as listed in OQMD.

abc: 4.145 7.575 7.575
angles: 120.57 90.00 90.00
Element x y z (fractional)
La 0.000 0.208 0.792
La 0.000 0.792 0.208
Gd 0.000 0.616 0.616
Mg 0.500 0.213 0.447
Mg 0.500 0.447 0.213
Mg 0.500 0.965 0.965
Pt 0.000 0.215 0.215
Pt 0.500 0.544 0.871
Pt 0.500 0.871 0.544

Values from the calculation:
Final energy = -5.076 eV per atom
Magnetization = 0.01 Bohr magnetons per cell
SG = No. 38

First-principles (PBE) data for crystalline LaGdMg4Pt2 at its relaxed geometry, as listed in OQMD.

abc: 8.318 5.586 5.586
angles: 44.81 90.00 90.00
Element x y z (fractional)
La 0.000 0.000 0.000
Gd 0.500 0.877 0.877
Mg 0.200 0.287 0.287
Mg 0.309 0.592 0.592
Mg 0.691 0.592 0.592
Mg 0.800 0.287 0.287
Pt 0.000 0.712 0.712
Pt 0.500 0.169 0.169

Values from the calculation:
Final energy = -4.200 eV per atom
Magnetization = 0.00 Bohr magnetons per cell
SG = No. 38

First-principles (PBE) data for crystalline La2GdMg3Tl3 at its relaxed geometry, as listed in OQMD.

abc: 4.783 7.715 7.715
angles: 119.17 90.00 90.00
Element x y z (fractional)
La 0.000 0.214 0.786
La 0.000 0.786 0.214
Gd 0.000 0.361 0.361
Mg 0.500 0.026 0.026
Mg 0.500 0.542 0.784
Mg 0.500 0.784 0.542
Tl 0.000 0.777 0.777
Tl 0.500 0.125 0.448
Tl 0.500 0.448 0.125

Values from the calculation:
Final energy = -3.282 eV per atom
Magnetization = 0.01 Bohr magnetons per cell
SG = No. 38

First-principles (PBE) data for crystalline La2GdTa2N6 at its relaxed geometry, as listed in OQMD.

abc: 10.283 10.283 10.283
angles: 157.36 157.36 32.23
Element x y z (fractional)
La 0.181 0.181 0.000
La 0.819 0.819 0.000
Gd 0.000 0.000 0.000
Ta 0.404 0.404 0.000
Ta 0.596 0.596 0.000
N 0.080 0.580 0.500
N 0.304 0.304 0.000
N 0.420 0.920 0.500
N 0.580 0.080 0.500
N 0.696 0.696 0.000
N 0.920 0.420 0.500

Values from the calculation:
Final energy = -9.433 eV per atom
Magnetization = 0.01 Bohr magnetons per cell
SG = No. 139

First-principles (PBE) data for crystalline LaGd2Ta2N6 at its relaxed geometry, as listed in OQMD.

abc: 10.161 10.161 10.161
angles: 157.04 157.04 32.70
Element x y z (fractional)
La 0.000 0.000 0.000
Gd 0.179 0.179 0.000
Gd 0.821 0.821 0.000
Ta 0.395 0.395 0.000
Ta 0.605 0.605 0.000
N 0.089 0.589 0.500
N 0.296 0.296 0.000
N 0.411 0.911 0.500
N 0.589 0.089 0.500
N 0.704 0.704 0.000
N 0.911 0.411 0.500

Values from the calculation:
Final energy = -9.377 eV per atom
Magnetization = 0.00 Bohr magnetons per cell
SG = No. 139